No. 1
PBE AlCoW2, optimized geometry; crystal system = tetragonal; ΔH_f (0 K) = 0.26 eV/atom; space-group type = No. 123
1.0
4.573 0.000 0.000
0.000 4.573 0.000
0.000 0.000 2.751
Al Co W
1 1 2
direct
0.000 0.000 0.000 Al
0.500 0.500 0.000 Co
0.000 0.500 0.500 W
0.500 0.000 0.500 W


No. 2
PBE Ce5NpSb6, optimized geometry; crystal system = monoclinic; space-group type = No. 12; uncorrected formation energy = -0.8981 eV per atom
1.0
3.883 -6.718 0.000
3.883 6.718 0.000
-2.582 0.000 7.331
Ce Np Sb
5 1 6
direct
0.000 0.000 0.000 Ce
0.166 0.834 0.500 Ce
0.332 0.668 0.000 Ce
0.668 0.332 0.000 Ce
0.834 0.166 0.500 Ce
0.500 0.500 0.500 Np
0.087 0.417 0.252 Sb
0.253 0.253 0.749 Sb
0.417 0.087 0.252 Sb
0.583 0.913 0.748 Sb
0.747 0.747 0.251 Sb
0.913 0.583 0.748 Sb